Record 1
VASP calculation (PBE) on an optimized crystal structure of ThMgAl2Au2.

abc: 4.478 4.478 7.089
angles: 90.00 90.00 120.00
Atoms (fractional coordinates):
Th  0.000  0.000  0.000
Mg  0.000  0.000  0.500
Al  0.333  0.667  0.292
Al  0.667  0.333  0.708
Au  0.333  0.667  0.710
Au  0.667  0.333  0.290

Values from the calculation:
Energy relative to the elements: -344 kJ/mol of formula units
Symmetry: P-3m1, No. 164
Total magnetic moment: 0.0 μB/f.u.
Final energy: -4.437 eV/atom



Record 2
VASP calculation (PBE) on an optimized crystal structure of Rb2VTePt.

abc: 7.038 7.038 4.945
angles: 90.00 90.00 90.00
Atoms (fractional coordinates):
Rb  0.000  0.500  0.000
Rb  0.500  0.000  0.000
V  0.000  0.000  0.500
Te  0.500  0.500  0.000
Pt  0.500  0.500  0.500

Values from the calculation:
Raw formation energy: 0.641 eV/atom
Symmetry: P4/mmm, No. 123
Total magnetic moment: 4.2 μB/f.u.
Final energy: -3.406 eV/atom
ΔE to the lowest computed polymorph: 0.077 eV/atom



Record 3
VASP calculation (PBE) on an optimized crystal structure of ZnReMo2.

abc: 3.927 3.927 3.913
angles: 90.00 90.00 90.00
Atoms (fractional coordinates):
Zn  0.000  0.000  0.000
Re  0.500  0.500  0.000
Mo  0.000  0.500  0.500
Mo  0.500  0.000  0.500

Values from the calculation:
Energy relative to the elements: 79 kJ/mol of formula units
Symmetry: P4/mmm, No. 123
Total magnetic moment: 0.0 μB/f.u.
Final energy: -8.640 eV/atom



Record 4
VASP calculation (PBE) on an optimized crystal structure of FeGeH.

abc: 3.436 3.436 7.197
angles: 90.00 90.00 90.00
Atoms (fractional coordinates):
Fe  0.250  0.750  0.000
Fe  0.750  0.250  0.000
Ge  0.250  0.250  0.236
Ge  0.750  0.750  0.764
H  0.250  0.250  0.451
H  0.750  0.750  0.549

Values from the calculation:
Symmetry: P4/nmm, No. 129
Total magnetic moment: 1.8 μB/f.u.
Final energy: -5.230 eV/atom
ΔE to the lowest computed polymorph: 0.131 eV/atom